No. 1
Here is crystalline FeAuN2O at its relaxed geometry from Alexandria via LeMat-Bulk. Energies are from PBE with a Hubbard U.

The structure in POSCAR format:
```
FeAuN2O
1.0
3.958 0.000 0.000
0.000 3.958 0.000
0.000 0.000 3.718
Fe Au N O
1 1 2 1
direct
0.000 0.000 0.000
0.500 0.500 0.500
0.000 0.500 0.000
0.500 0.000 0.000
0.000 0.000 0.500
```

Its calculated volume is 11.65 Å³/atom. The value obtained for the total magnetic moment is 5.2 μB/f.u. The space-group type is P4/mmm, No. 123. The final energy comes out at -4.8548 eV/atom.

No. 2
Here is crystalline FeAuNO2 at its relaxed geometry from Alexandria via LeMat-Bulk. Energies are from PBE with a Hubbard U.

The structure in POSCAR format:
```
FeAuNO2
1.0
4.245 0.000 0.000
0.000 4.245 0.000
0.000 0.000 3.766
Fe Au N O
1 1 1 2
direct
0.000 0.000 0.000
0.500 0.500 0.500
0.500 0.500 0.000
0.000 0.500 0.500
0.500 0.000 0.500
```

Its calculated volume is 13.58 Å³/atom. The value obtained for the total magnetic moment is 3.7 μB/f.u. The space-group type is P4/mmm, No. 123. The final energy comes out at -4.5064 eV/atom.

No. 3
Here is crystalline FeAuNO2 at its relaxed geometry from Alexandria via LeMat-Bulk. Energies are from PBE with a Hubbard U.

The structure in POSCAR format:
```
FeAuNO2
1.0
3.844 0.000 0.000
0.000 3.844 0.000
0.000 0.000 3.999
Fe Au N O
1 1 1 2
direct
0.000 0.000 0.000
0.500 0.500 0.500
0.000 0.000 0.500
0.000 0.500 0.000
0.500 0.000 0.000
```

Its calculated volume is 11.82 Å³/atom. The value obtained for the total magnetic moment is 2.0 μB/f.u. The space-group type is P4/mmm, No. 123. The final energy comes out at -4.8876 eV/atom.